First-principles (PBE) data for an optimized crystal structure of RbGa2P, as listed in the Alexandria database.

The structure in POSCAR format:
```
RbGa2P
1.0
8.171 0.000 0.000
0.000 8.171 0.000
4.085 4.085 3.338
P Rb Ga
2 2 4
direct
0.250 0.750 0.500
0.500 0.500 0.000
0.750 0.250 0.500
0.000 0.000 0.000
0.538 0.125 0.250
0.212 0.625 0.250
0.375 0.462 0.750
0.875 0.788 0.750
```

Output
Energy of formation from the pure elements ... 0.010 eV per atom
SG ... I-42d
Total magnetic moment ... 0.00 μB per formula unit

=====

First-principles (PBE) data for an optimized crystal structure of Rb2GaP2, as listed in the Alexandria database.

The structure in POSCAR format:
```
Rb2GaP2
1.0
-5.599 0.621 4.451
-1.141 -7.074 -0.449
3.353 -0.816 4.332
Rb P Ga
4 4 2
direct
0.683 0.817 0.500
0.817 0.317 0.500
0.317 0.183 0.500
0.183 0.683 0.500
0.606 0.106 0.000
0.894 0.606 0.000
0.394 0.894 0.000
0.106 0.394 0.000
0.500 0.500 0.000
0.000 0.000 0.000
```

Output
Energy of formation from the pure elements ... -0.120 eV per atom
SG ... P4/mbm
Excess energy over the best structure of this formula in the dataset ... 182.8 meV/atom
Total magnetic moment ... 0.00 μB per formula unit

=====

First-principles (PBE) data for an optimized crystal structure of RbGaP, as listed in the Alexandria database.

The structure in POSCAR format:
```
RbGaP
1.0
5.978 0.000 0.000
0.000 4.028 0.000
0.000 -2.014 3.489
Rb P Ga
1 1 1
direct
0.674 0.667 0.333
0.102 0.000 0.000
0.225 0.333 0.667
```

Output
Energy of formation from the pure elements ... -0.225 eV per atom
SG ... P3m1
Excess energy over the best structure of this formula in the dataset ... 83.4 meV/atom
Total magnetic moment ... 0.00 μB per formula unit

=====

First-principles (PBE) data for an optimized crystal structure of Rb2GaP2, as listed in the Alexandria database.

The structure in POSCAR format:
```
Rb2GaP2
1.0
-1.081 0.203 -6.790
7.847 -0.277 2.226
-5.267 -7.508 0.614
P Ga Rb
4 2 4
direct
0.207 0.414 0.632
0.793 0.586 0.368
0.462 0.923 0.158
0.538 0.077 0.842
0.616 0.233 0.145
0.384 0.767 0.855
0.043 0.086 0.781
0.671 0.341 0.600
0.957 0.914 0.219
0.329 0.659 0.400
```

Output
Energy of formation from the pure elements ... -0.208 eV per atom
SG ... C2/m
Excess energy over the best structure of this formula in the dataset ... 94.2 meV/atom
Total magnetic moment ... 1.02 μB per formula unit

=====

First-principles (PBE) data for an optimized crystal structure of RbGa3P, as listed in the Alexandria database.

The structure in POSCAR format:
```
RbGa3P
1.0
5.088 0.000 0.000
0.000 5.088 0.000
0.000 0.000 5.088
P Ga Rb
1 3 1
direct
0.000 0.000 0.000
0.000 0.000 0.500
0.500 0.000 0.000
0.000 0.500 0.000
0.500 0.500 0.500
```

Output
Energy of formation from the pure elements ... 0.278 eV per atom
SG ... Pm-3m
Excess energy over the best structure of this formula in the dataset ... 0.0 meV/atom
Total magnetic moment ... 0.00 μB per formula unit

=====

First-principles (PBE) data for an optimized crystal structure of RbGa2P, as listed in the Alexandria database.

The structure in POSCAR format:
```
RbGa2P
1.0
3.913 0.000 0.000
1.957 3.389 0.000
1.957 1.130 9.570
Ga P Rb
2 1 1
direct
0.879 0.879 0.364
0.121 0.121 0.636
0.500 0.500 0.500
0.000 0.000 0.000
```

Output
Energy of formation from the pure elements ... 0.056 eV per atom
SG ... R-3m
Total magnetic moment ... 0.00 μB per formula unit

=====

First-principles (PBE) data for an optimized crystal structure of RbGaP, as listed in the Alexandria database.

The structure in POSCAR format:
```
RbGaP
1.0
5.576 0.000 0.000
0.000 8.231 -0.219
0.000 -0.328 7.444
P Ga Rb
4 4 4
direct
0.462 0.168 0.662
0.962 0.832 0.838
0.538 0.832 0.338
0.038 0.168 0.162
0.703 0.966 0.071
0.797 0.966 0.571
0.297 0.034 0.929
0.203 0.034 0.429
0.463 0.655 0.731
0.537 0.345 0.269
0.963 0.345 0.769
0.037 0.655 0.231
```

Output
Energy of formation from the pure elements ... -0.308 eV per atom
SG ... P2_1/c
Excess energy over the best structure of this formula in the dataset ... 0.0 meV/atom
Total magnetic moment ... 0.00 μB per formula unit

=====

First-principles (PBE) data for an optimized crystal structure of RbGa3P, as listed in the Alexandria database.

The structure in POSCAR format:
```
RbGa3P
1.0
-4.643 0.245 -3.482
-0.574 -5.769 0.361
-3.443 0.632 4.635
Ga P Rb
3 1 1
direct
0.000 0.000 0.500
0.000 0.500 0.000
0.500 0.000 0.000
0.500 0.500 0.500
0.000 0.000 0.000
```

Output
Energy of formation from the pure elements ... 1.484 eV per atom
SG ... Pm-3m
Excess energy over the best structure of this formula in the dataset ... 1205.4 meV/atom
Total magnetic moment ... 0.02 μB per formula unit

=====

First-principles (PBE) data for an optimized crystal structure of RbGaP, as listed in the Alexandria database.

The structure in POSCAR format:
```
RbGaP
1.0
-2.680 -3.437 2.652
2.283 -3.767 -2.574
3.527 3.452 3.132
Rb Ga P
1 1 1
direct
0.952 0.952 0.904
0.330 0.330 0.660
0.568 0.568 0.136
```

Output
Energy of formation from the pure elements ... 0.315 eV per atom
SG ... I4mm
Excess energy over the best structure of this formula in the dataset ... 623.7 meV/atom
Total magnetic moment ... 1.01 μB per formula unit

=====

First-principles (PBE) data for an optimized crystal structure of Rb2GaP2, as listed in the Alexandria database.

The structure in POSCAR format:
```
Rb2GaP2
1.0
6.442 0.000 -3.421
-1.074 5.999 -2.022
0.329 -0.524 8.395
Rb P Ga
4 4 2
direct
0.520 0.854 0.705
0.480 0.146 0.295
0.815 0.646 0.295
0.185 0.354 0.705
0.077 0.906 0.810
0.923 0.094 0.190
0.268 0.594 0.190
0.732 0.406 0.810
0.000 0.250 0.000
0.000 0.750 0.000
```

Output
Energy of formation from the pure elements ... -0.302 eV per atom
SG ... C2/c
Excess energy over the best structure of this formula in the dataset ... 0.0 meV/atom
Total magnetic moment ... 1.04 μB per formula unit

=====

First-principles (PBE) data for an optimized crystal structure of RbGaP, as listed in the Alexandria database.

The structure in POSCAR format:
```
RbGaP
1.0
-0.156 0.660 -3.871
4.995 -1.116 -0.392
-1.923 -8.809 0.571
Rb P Ga
2 2 2
direct
0.676 0.750 0.352
0.324 0.250 0.648
0.114 0.250 0.228
0.886 0.750 0.772
0.540 0.250 0.079
0.460 0.750 0.921
```

Output
Energy of formation from the pure elements ... -0.188 eV per atom
SG ... Cmcm
Excess energy over the best structure of this formula in the dataset ... 120.3 meV/atom
Total magnetic moment ... 0.00 μB per formula unit

=====

First-principles (PBE) data for an optimized crystal structure of Rb2GaP, as listed in the Alexandria database.

The structure in POSCAR format:
```
Rb2GaP
1.0
0.164 -5.508 -1.606
-1.291 -4.129 3.772
-4.878 -2.973 -0.557
Rb Ga P
2 1 1
direct
0.750 0.750 0.750
0.250 0.250 0.250
0.500 0.500 0.500
0.000 0.000 0.000
```

Output
Energy of formation from the pure elements ... 0.202 eV per atom
SG ... Fm-3m
Excess energy over the best structure of this formula in the dataset ... 0.0 meV/atom
Total magnetic moment ... 0.00 μB per formula unit